A relaxed LaTi3Sb crystal. Source: Alexandria, functional PBE.

E_tot ... -5.460 eV per atom
Polymorph energy (0 for the lowest one) ... 272 kJ/mol of formula units
Energy relative to the elements, uncorrected ... 1087 meV/atom

The structure in CIF format:
```
data_LaTi3Sb
_chemical_formula_sum 'La1 Ti3 Sb1'
_cell_length_a 4.820
_cell_length_b 4.820
_cell_length_c 4.820
_cell_angle_alpha 90.00
_cell_angle_beta 90.00
_cell_angle_gamma 90.00
_symmetry_space_group_name_H-M 'P m -3 m'
_symmetry_Int_Tables_number 221
_symmetry_space_group_name_Hall '-P 4 2 3'
loop_
_atom_site_label
_atom_site_type_symbol
_atom_site_fract_x
_atom_site_fract_y
_atom_site_fract_z
La1 La 0.000 0.000 0.000
Ti1 Ti 0.000 0.000 0.500
Sb1 Sb 0.500 0.500 0.500
```

***

A relaxed La3TiSb5 crystal. Source: Alexandria, functional PBE.

E_tot ... -5.818 eV per atom
Energy relative to the elements, uncorrected ... -1008 meV/atom

The structure in CIF format:
```
data_La3TiSb5
_chemical_formula_sum 'La6 Ti2 Sb10'
_cell_length_a 9.5929
_cell_length_b 9.5929
_cell_length_c 6.3048
_cell_angle_alpha 90.00
_cell_angle_beta 90.00
_cell_angle_gamma 120.00
_symmetry_space_group_name_H-M 'P 63/m c m'
_symmetry_Int_Tables_number 193
_symmetry_space_group_name_Hall '-P 6c 2'
loop_
_atom_site_label
_atom_site_type_symbol
_atom_site_fract_x
_atom_site_fract_y
_atom_site_fract_z
La1 La 0.0000 0.3819 0.2500
Ti1 Ti 0.0000 0.0000 0.0000
Sb1 Sb 0.0000 0.2497 0.7500
Sb2 Sb 0.3333 0.6667 0.0000
```

***

A relaxed LaTi2Sb2 crystal. Source: Alexandria, functional PBE.

E_tot ... -6.179 eV per atom
Polymorph energy (0 for the lowest one) ... 140 kJ/mol of formula units
Energy relative to the elements, uncorrected ... -387 meV/atom

The structure in CIF format:
```
data_LaTi2Sb2
_chemical_formula_sum 'La2 Ti4 Sb4'
_cell_length_a 5.287
_cell_length_b 5.287
_cell_length_c 8.917
_cell_angle_alpha 90.00
_cell_angle_beta 90.00
_cell_angle_gamma 90.00
_symmetry_space_group_name_H-M 'I 4/m m m'
_symmetry_Int_Tables_number 139
_symmetry_space_group_name_Hall '-I 4 2'
loop_
_atom_site_label
_atom_site_type_symbol
_atom_site_fract_x
_atom_site_fract_y
_atom_site_fract_z
La1 La 0.000 0.000 0.000
Ti1 Ti 0.000 0.000 0.357
Sb1 Sb 0.000 0.500 0.250
```